Entry 1:
PBE-GGA In3IrBr, optimized geometry; total magnetic moment = 0.000 μB per formula unit; formation energy without anion corrections = 0.071 eV per atom; electronic total energy = -18.39 eV/cell; SG = P4mm (99)
1.0
4.1005 0.0000 0.0000
0.0000 4.1005 0.0000
0.0000 0.0000 8.2483
In Ir Br
3 1 1
Cartesian
0.0000 0.0000 0.0000 In
0.0000 2.0502 5.4697 In
2.0502 0.0000 5.4697 In
2.0502 2.0502 7.2925 Ir
0.0000 0.0000 2.6935 Br

***

Entry 2:
PBE-GGA LuZrCd4, optimized geometry; total magnetic moment = 1.872 μB per formula unit; electronic total energy = -17.25 eV/cell; SG = F-43m (216); formation energy = -86 meV per atom
1.0
0.0000 4.0754 4.0754
4.0754 0.0000 4.0754
4.0754 4.0754 0.0000
Lu Zr Cd
1 1 4
Cartesian
0.0000 0.0000 0.0000 Lu
6.1131 6.1131 6.1131 Zr
3.0592 3.0592 3.0592 Cd
5.0916 5.0916 3.0592 Cd
5.0916 3.0592 5.0916 Cd
3.0592 5.0916 5.0916 Cd